i | AlRu3I: relaxed, PBE.

Summary:
The space group is Pm-3m (221). For the total moment, the calculation gives 0.0 μB per formula unit.

Geometry as POSCAR:
```
AlRu3I
1.0
4.758 0.000 0.000
0.000 4.758 0.000
0.000 0.000 4.758
Ru Al I
3 1 1
direct
0.000 0.500 0.000
0.500 0.000 0.000
0.000 0.000 0.500
0.500 0.500 0.500
0.000 0.000 0.000
```

---

ii | AlRu3I: relaxed, PBE.

Summary:
The space group is Pm-3m (221). For the total moment, the calculation gives 0.0 μB per formula unit.

Geometry as POSCAR:
```
AlRu3I
1.0
4.533 0.000 0.000
0.000 4.533 0.000
0.000 0.000 4.533
Ru Al I
3 1 1
direct
0.000 0.000 0.500
0.000 0.500 0.000
0.500 0.000 0.000
0.000 0.000 0.000
0.500 0.500 0.500
```

---

If we sort the structures by their calculated energies, the order from most to least stable is ii, i.

---

i | Al2RuI: relaxed, PBE.

Summary:
The space group is I-42d (122). For the total moment, the calculation gives 0.0 μB per formula unit.

Geometry as POSCAR:
```
Al2RuI
1.0
-0.455 -4.016 -4.806
0.413 -4.828 3.995
-5.764 -4.446 0.158
Al Ru I
4 2 2
direct
0.875 0.792 0.750
0.208 0.625 0.250
0.375 0.458 0.750
0.542 0.125 0.250
0.500 0.500 0.000
0.250 0.750 0.500
0.000 0.000 0.000
0.750 0.250 0.500
```

---

ii | Al2RuI: relaxed, PBE.

Summary:
The space group is Fm-3m (225). For the total moment, the calculation gives 0.0 μB per formula unit.

Geometry as POSCAR:
```
Al2RuI
1.0
1.692 -3.834 2.072
0.102 -0.284 4.666
-2.891 -2.922 2.228
I Al Ru
1 2 1
direct
0.500 0.500 0.500
0.250 0.250 0.250
0.750 0.750 0.750
0.000 0.000 0.000
```

---

If we sort the structures by their calculated energies, the order from most to least stable is i, ii.